1.
This record from Alexandria via LeMat-Bulk describes an optimized crystal structure of Y8Tm5Th. The functional is PBE.

POSCAR file:
```
Y8Tm5Th
1.0
-4.798 4.798 5.009
4.798 -4.798 5.009
4.798 4.798 -5.009
Y Tm Th
8 5 1
Direct
0.160 0.425 0.088 Y
0.337 0.072 0.912 Y
0.420 0.164 0.398 Y
0.575 0.663 0.734 Y
0.765 0.022 0.602 Y
0.836 0.235 0.256 Y
0.928 0.840 0.266 Y
0.978 0.580 0.744 Y
0.214 0.313 0.680 Tm
0.250 0.750 0.500 Tm
0.466 0.786 0.098 Tm
0.633 0.534 0.320 Tm
0.687 0.367 0.902 Tm
0.000 0.000 0.000 Th
```

Output
The density of states at the Fermi level comes out at 22.64 states/eV per cell. Its calculated total energy is -5.55 eV/atom. As for the space group: I-4, No. 82. The energy of formation from the pure elements comes out at 0.274 eV per atom.


2.
This record from Alexandria via LeMat-Bulk describes an optimized crystal structure of Y5Tm2Th3. The functional is PBE.

POSCAR file:
```
Y5Tm2Th3
1.0
5.609 -2.520 0.000
5.609 2.520 0.000
-0.105 0.000 11.288
Y Tm Th
5 2 3
Direct
0.000 0.000 0.000 Y
0.199 0.199 0.600 Y
0.301 0.301 0.899 Y
0.699 0.699 0.101 Y
0.801 0.801 0.400 Y
0.402 0.402 0.203 Tm
0.598 0.598 0.797 Tm
0.098 0.098 0.299 Th
0.500 0.500 0.500 Th
0.902 0.902 0.701 Th
```

Output
The density of states at the Fermi level comes out at 14.61 states/eV per cell. Its calculated total energy is -6.32 eV/atom. As for the space group: C2/m, No. 12. The energy of formation from the pure elements comes out at 0.036 eV per atom.


3.
This record from Alexandria via LeMat-Bulk describes an optimized crystal structure of Y3TmTh4. The functional is PBE.

POSCAR file:
```
Y3TmTh4
1.0
-1.717 5.702 6.591
1.717 -5.702 6.591
1.717 5.702 -6.591
Y Tm Th
3 1 4
Direct
0.000 0.000 0.000 Y
0.265 0.765 0.500 Y
0.735 0.235 0.500 Y
0.500 0.500 0.000 Tm
0.119 0.371 0.749 Th
0.378 0.629 0.749 Th
0.622 0.371 0.251 Th
0.881 0.629 0.251 Th
```

Output
The density of states at the Fermi level comes out at 10.54 states/eV per cell. Its calculated total energy is -6.56 eV/atom. As for the space group: Immm, No. 71. The energy of formation from the pure elements comes out at 0.136 eV per atom.


4.
This record from Alexandria via LeMat-Bulk describes an optimized crystal structure of Y10Tm4Th. The functional is PBE.

POSCAR file:
```
Y10Tm4Th
1.0
-4.894 4.894 5.175
4.894 -4.894 5.175
4.894 4.894 -5.175
Y Tm Th
10 4 1
Direct
0.049 0.374 0.099 Y
0.050 0.951 0.325 Y
0.250 0.750 0.500 Y
0.274 0.950 0.901 Y
0.374 0.274 0.325 Y
0.626 0.726 0.675 Y
0.726 0.050 0.099 Y
0.750 0.250 0.500 Y
0.950 0.049 0.675 Y
0.951 0.626 0.901 Y
0.166 0.429 0.595 Tm
0.429 0.834 0.263 Tm
0.571 0.166 0.737 Tm
0.834 0.571 0.405 Tm
0.500 0.500 0.000 Th
```

Output
The density of states at the Fermi level comes out at 25.02 states/eV per cell. Its calculated total energy is -5.60 eV/atom. As for the space group: I4/m, No. 87. The energy of formation from the pure elements comes out at 0.393 eV per atom.


5.
This record from Alexandria via LeMat-Bulk describes an optimized crystal structure of Y2Tm8Th3. The functional is PBE.

POSCAR file:
```
Y2Tm8Th3
1.0
7.377 -4.590 0.000
7.377 4.590 0.000
-1.091 0.000 6.461
Y Tm Th
2 8 3
Direct
0.198 0.198 0.279 Y
0.802 0.802 0.721 Y
0.212 0.566 0.565 Tm
0.215 0.215 0.784 Tm
0.418 0.418 0.127 Tm
0.434 0.788 0.435 Tm
0.566 0.212 0.565 Tm
0.582 0.582 0.873 Tm
0.785 0.785 0.216 Tm
0.788 0.434 0.435 Tm
0.000 0.000 0.500 Th
0.170 0.830 0.000 Th
0.830 0.170 0.000 Th
```

Output
The density of states at the Fermi level comes out at 20.24 states/eV per cell. The excess energy over the best structure of this formula in the dataset is 0.013 eV per atom. Its calculated total energy is -5.17 eV/atom. As for the space group: C2/m, No. 12. The energy of formation from the pure elements comes out at 0.291 eV per atom.


6.
This record from Alexandria via LeMat-Bulk describes an optimized crystal structure of Y4TmTh6. The functional is PBE.

POSCAR file:
```
Y4TmTh6
1.0
-3.246 3.246 8.792
3.246 -3.246 8.792
3.246 3.246 -8.792
Y Tm Th
4 1 6
Direct
0.194 0.194 0.636 Y
0.442 0.806 0.000 Y
0.558 0.558 0.364 Y
0.806 0.442 0.000 Y
0.000 0.000 0.000 Tm
0.000 0.000 0.629 Th
0.000 0.500 0.500 Th
0.000 0.630 0.000 Th
0.370 0.370 0.371 Th
0.500 0.000 0.500 Th
0.630 0.000 0.000 Th
```

Output
The density of states at the Fermi level comes out at 19.27 states/eV per cell. Its calculated total energy is -6.36 eV/atom. As for the space group: I-42m, No. 121. The energy of formation from the pure elements comes out at 0.445 eV per atom.


7.
This record from Alexandria via LeMat-Bulk describes an optimized crystal structure of YTm10Th4. The functional is PBE.

POSCAR file:
```
YTm10Th4
1.0
-5.594 5.594 3.869
5.594 -5.594 3.869
5.594 5.594 -3.869
Y Tm Th
1 10 4
Direct
0.000 0.000 0.000 Y
0.084 0.293 0.791 Tm
0.250 0.750 0.500 Tm
0.293 0.084 0.791 Tm
0.293 0.502 0.209 Tm
0.498 0.707 0.791 Tm
0.502 0.293 0.209 Tm
0.707 0.498 0.791 Tm
0.707 0.916 0.209 Tm
0.750 0.250 0.500 Tm
0.916 0.707 0.209 Tm
0.228 0.228 0.455 Th
0.228 0.772 0.000 Th
0.772 0.228 0.000 Th
0.772 0.772 0.545 Th
```

Output
The density of states at the Fermi level comes out at 21.79 states/eV per cell. Its calculated total energy is -5.09 eV/atom. As for the space group: I4/mmm, No. 139. The energy of formation from the pure elements comes out at 0.304 eV per atom.


8.
This record from Alexandria via LeMat-Bulk describes an optimized crystal structure of Y3TmTh2. The functional is PBE.

POSCAR file:
```
Y3TmTh2
1.0
3.493 -8.656 0.000
3.493 8.656 0.000
0.000 0.000 6.500
Y Tm Th
6 2 4
Direct
0.072 0.429 0.750 Y
0.146 0.854 0.750 Y
0.429 0.072 0.250 Y
0.571 0.928 0.750 Y
0.854 0.146 0.250 Y
0.928 0.571 0.250 Y
0.354 0.646 0.250 Tm
0.646 0.354 0.750 Tm
0.252 0.252 0.000 Th
0.252 0.252 0.500 Th
0.748 0.748 0.000 Th
0.748 0.748 0.500 Th
```

Output
The density of states at the Fermi level comes out at 15.34 states/eV per cell. The excess energy over the best structure of this formula in the dataset is 0.149 eV per atom. Its calculated total energy is -6.27 eV/atom. As for the space group: Cmcm, No. 63. The energy of formation from the pure elements comes out at 0.177 eV per atom.


9.
This record from Alexandria via LeMat-Bulk describes an optimized crystal structure of Y7TmTh3. The functional is PBE.

POSCAR file:
```
Y7TmTh3
1.0
6.455 0.000 0.000
-0.792 6.666 0.000
-1.053 -1.856 8.417
Y Tm Th
7 1 3
Direct
0.000 0.000 0.000 Y
0.069 0.714 0.645 Y
0.206 0.231 0.705 Y
0.492 0.731 0.924 Y
0.508 0.269 0.076 Y
0.794 0.769 0.295 Y
0.931 0.286 0.355 Y
0.000 0.500 0.000 Tm
0.325 0.945 0.336 Th
0.500 0.500 0.500 Th
0.675 0.055 0.664 Th
```

Output
The density of states at the Fermi level comes out at 18.97 states/eV per cell. The excess energy over the best structure of this formula in the dataset is 0.000 eV per atom. Its calculated total energy is -6.39 eV/atom. As for the space group: P-1, No. 2. The energy of formation from the pure elements comes out at 0.157 eV per atom.


10.
This record from Alexandria via LeMat-Bulk describes an optimized crystal structure of Y6Tm2Th. The functional is PBE.

POSCAR file:
```
Y6Tm2Th
1.0
5.892 -1.778 0.000
5.892 1.778 0.000
-5.324 0.000 13.665
Y Tm Th
6 2 1
Direct
0.056 0.056 0.221 Y
0.275 0.275 0.110 Y
0.389 0.389 0.555 Y
0.611 0.611 0.445 Y
0.725 0.725 0.890 Y
0.944 0.944 0.779 Y
0.165 0.165 0.664 Tm
0.835 0.835 0.336 Tm
0.500 0.500 0.000 Th
```

Output
The density of states at the Fermi level comes out at 12.92 states/eV per cell. The excess energy over the best structure of this formula in the dataset is 0.000 eV per atom. Its calculated total energy is -6.10 eV/atom. As for the space group: C2/m, No. 12. The energy of formation from the pure elements comes out at 0.029 eV per atom.